# 1
Entry from Alexandria via LeMat-Bulk: a relaxed PrDy2Tm5 crystal (GGA-PBE).

The calculation puts the energy of formation at 23 meV per atom. The value obtained for the total energy is -4.520 eV per atom. The space group is No. 55.

Cell: 7.0671 7.0525 19.8972 Å, 90.00 90.00 90.00°
With the nearest neighbours (Å) after each atom.
Element x y z (fractional)
Pr 0.0000 0.2493 0.8745  8 Tm 3.52-3.53, 4 Dy 3.53-3.54
Pr 0.0000 0.7507 0.1255  8 Tm 3.52-3.53, 4 Dy 3.53-3.54
Pr 0.0000 0.2507 0.3745  8 Tm 3.52-3.53, 4 Dy 3.53-3.54
Pr 0.0000 0.7493 0.6255  8 Tm 3.52-3.53, 4 Dy 3.53-3.54
Dy 0.7481 0.0000 0.5000  4 Dy 3.51-3.56, 6 Tm 3.52-3.53, 2 Pr 3.54
Dy 0.2519 0.5000 0.0000  4 Dy 3.51-3.56, 6 Tm 3.52-3.53, 2 Pr 3.54
Dy 0.2519 0.0000 0.5000  4 Dy 3.51-3.56, 6 Tm 3.52-3.53, 2 Pr 3.54
Dy 0.7481 0.5000 0.0000  4 Dy 3.51-3.56, 6 Tm 3.52-3.53, 2 Pr 3.54
Dy 0.5000 0.7486 0.6255  8 Tm 3.51-3.53, 2 Dy 3.53, 2 Pr 3.53
Dy 0.5000 0.2514 0.3745  8 Tm 3.51-3.53, 2 Dy 3.53, 2 Pr 3.53
Dy 0.5000 0.7514 0.1255  8 Tm 3.51-3.53, 2 Dy 3.53, 2 Pr 3.53
Dy 0.5000 0.2486 0.8745  8 Tm 3.51-3.53, 2 Dy 3.53, 2 Pr 3.53
Tm 0.7480 0.0000 0.0000  6 Tm 3.51-3.56, 4 Dy 3.52-3.53, 2 Pr 3.53
Tm 0.2520 0.5000 0.5000  6 Tm 3.51-3.56, 4 Dy 3.52-3.53, 2 Pr 3.53
Tm 0.2520 0.0000 0.0000  6 Tm 3.51-3.56, 4 Dy 3.52-3.53, 2 Pr 3.53
Tm 0.7480 0.5000 0.5000  6 Tm 3.51-3.56, 4 Dy 3.52-3.53, 2 Pr 3.53
Tm 0.0000 0.2496 0.6254  8 Tm 3.52-3.54, 2 Pr 3.52-3.53, 2 Dy 3.53
Tm 0.0000 0.7504 0.3746  8 Tm 3.52-3.54, 2 Pr 3.52-3.53, 2 Dy 3.53
Tm 0.0000 0.2504 0.1254  8 Tm 3.52-3.54, 2 Pr 3.52-3.53, 2 Dy 3.53
Tm 0.0000 0.7496 0.8746  8 Tm 3.52-3.54, 2 Pr 3.52-3.53, 2 Dy 3.53
Tm 0.5000 0.2492 0.6254  8 Tm 3.51-3.53, 4 Dy 3.52-3.53
Tm 0.5000 0.7508 0.3746  8 Tm 3.51-3.53, 4 Dy 3.52-3.53
Tm 0.5000 0.2508 0.1254  8 Tm 3.51-3.53, 4 Dy 3.52-3.53
Tm 0.5000 0.7492 0.8746  8 Tm 3.51-3.53, 4 Dy 3.52-3.53
Tm 0.7479 0.4989 0.7500  8 Tm 3.50-3.56, 2 Dy 3.51, 2 Pr 3.52-3.53
Tm 0.7479 0.5011 0.2500  8 Tm 3.50-3.56, 2 Dy 3.51, 2 Pr 3.52-3.53
Tm 0.2521 0.0011 0.2500  8 Tm 3.50-3.56, 2 Dy 3.51, 2 Pr 3.52-3.53
Tm 0.2521 0.9989 0.7500  8 Tm 3.50-3.56, 2 Dy 3.51, 2 Pr 3.52-3.53
Tm 0.2521 0.5011 0.2500  8 Tm 3.50-3.56, 2 Dy 3.51, 2 Pr 3.52-3.53
Tm 0.2521 0.4989 0.7500  8 Tm 3.50-3.56, 2 Dy 3.51, 2 Pr 3.52-3.53
Tm 0.7479 0.9989 0.7500  8 Tm 3.50-3.56, 2 Dy 3.51, 2 Pr 3.52-3.53
Tm 0.7479 0.0011 0.2500  8 Tm 3.50-3.56, 2 Dy 3.51, 2 Pr 3.52-3.53



# 2
Entry from Alexandria via LeMat-Bulk: a relaxed Pr4Dy5Tm3 crystal (GGA-PBE).

The calculation puts the energy of formation at 227 meV per atom. The value obtained for the total energy is -4.401 eV per atom. The space group is No. 12.

Cell: 5.9357 8.6148 9.6861 Å, 105.29 72.16 69.85°
With the nearest neighbours (Å) after each atom.
Element x y z (fractional)
Pr 0.8625 0.2227 0.0523  2 Pr 3.32-3.66, 3 Dy 3.44-3.53, 1 Tm 3.46
Pr 0.1642 0.0534 0.6181  3 Tm 3.38-3.53, 3 Pr 3.57-3.66, 3 Dy 3.68-3.70
Pr 0.8358 0.9466 0.3819  3 Tm 3.38-3.53, 3 Pr 3.57-3.66, 3 Dy 3.68-3.70
Pr 0.1375 0.7773 0.9477  2 Pr 3.32-3.66, 3 Dy 3.44-3.53, 1 Tm 3.46
Dy 0.6340 0.9362 0.7958  2 Tm 3.29-3.45, 2 Dy 3.47-3.60
Dy 0.5000 0.5000 0.5000  4 Tm 2.97-3.14
Dy 0.2119 0.4585 0.1177  4 Tm 3.21-3.47, 3 Pr 3.44-3.53
Dy 0.7881 0.5415 0.8823  4 Tm 3.21-3.47, 3 Pr 3.44-3.53
Dy 0.3660 0.0638 0.2042  2 Tm 3.29-3.45, 2 Dy 3.47-3.60
Tm 0.5237 0.6895 0.2631  5 Dy 3.14-3.47, 2 Pr 3.38-3.46
Tm 0.0000 0.5000 0.5000  2 Dy 2.97
Tm 0.4763 0.3105 0.7369  5 Dy 3.14-3.47, 2 Pr 3.38-3.46